1.
AcLu2Tl PBE optimized geometry; ΔE to the lowest computed polymorph = 23 kJ/mol of formula units; formation enthalpy at 0 K = -5.8 kJ per mole of atoms
1.0
4.976 0.000 0.000
0.000 5.009 0.000
0.000 0.000 5.009
Ac Lu Tl
1 2 1
Direct
0.500 0.000 0.000 Ac
0.000 0.000 0.500 Lu
0.000 0.500 0.000 Lu
0.500 0.500 0.500 Tl


2.
AcLuTl PBE optimized geometry; ΔE to the lowest computed polymorph = 6 kJ/mol of formula units; formation enthalpy at 0 K = -14.5 kJ per mole of atoms
1.0
-0.059 -4.010 -0.556
3.004 0.568 -4.417
2.354 -0.697 4.779
Ac Lu Tl
1 1 1
Direct
0.667 0.333 0.667 Ac
0.167 0.667 0.333 Lu
0.166 0.000 0.000 Tl


3.
AcLuTl PBE optimized geometry; ΔE to the lowest computed polymorph = 0 kJ/mol of formula units; formation enthalpy at 0 K = -16.5 kJ per mole of atoms
1.0
-2.371 -2.481 1.611
-0.151 -1.960 -3.242
6.631 -1.581 2.864
Ac Lu Tl
1 1 1
Direct
0.955 0.955 0.911 Ac
0.262 0.262 0.524 Lu
0.632 0.632 0.265 Tl


4.
Ac2LuTl PBE optimized geometry; ΔE to the lowest computed polymorph = 0 kJ/mol of formula units; formation enthalpy at 0 K = -7.3 kJ per mole of atoms
1.0
-4.177 -0.590 2.974
-0.610 -4.849 -1.820
3.002 -1.824 3.854
Ac Lu Tl
2 1 1
Direct
0.000 0.000 0.500 Ac
0.000 0.500 0.000 Ac
0.500 0.500 0.500 Lu
0.500 0.000 0.000 Tl


5.
AcTmLuTl PBE optimized geometry; formation enthalpy at 0 K = 10.4 kJ per mole of atoms
1.0
-4.124 -2.813 2.501
1.149 -4.590 2.964
-0.461 0.081 5.563
Ac Lu Tm Tl
1 1 1 1
Direct
0.000 0.000 0.000 Ac
0.250 0.250 0.250 Lu
0.750 0.750 0.750 Tm
0.500 0.500 0.500 Tl


6.
AcYLuTl PBE optimized geometry; formation enthalpy at 0 K = 7.6 kJ per mole of atoms
1.0
5.612 0.000 0.000
2.806 4.860 0.000
2.806 1.620 4.582
Y Ac Lu Tl
1 1 1 1
Direct
0.750 0.750 0.750 Y
0.500 0.500 0.500 Ac
0.250 0.250 0.250 Lu
0.000 0.000 0.000 Tl


7.
AcLuTlZn PBE optimized geometry; formation enthalpy at 0 K = -23.1 kJ per mole of atoms
1.0
5.454 0.000 0.000
2.727 4.724 0.000
2.727 1.575 4.453
Zn Ac Lu Tl
1 1 1 1
Direct
0.000 0.000 0.000 Zn
0.250 0.250 0.250 Ac
0.750 0.750 0.750 Lu
0.500 0.500 0.500 Tl


8.
AcTmLu2 PBE optimized geometry; ΔE to the lowest computed polymorph = 0 kJ/mol of formula units; formation enthalpy at 0 K = 8.3 kJ per mole of atoms
1.0
-1.029 -4.389 -2.221
-1.884 -1.798 4.426
-4.660 1.739 -1.277
Ac Lu Tm
1 2 1
Direct
0.500 0.000 0.000 Ac
0.000 0.000 0.500 Lu
0.000 0.500 0.000 Lu
0.500 0.500 0.500 Tm


9.
AcTmLu2 PBE optimized geometry; ΔE to the lowest computed polymorph = 3 kJ/mol of formula units; formation enthalpy at 0 K = 9.1 kJ per mole of atoms
1.0
4.071 0.000 0.000
0.000 4.071 0.000
0.000 0.000 8.081
Ac Lu Tm
1 2 1
Direct
0.500 0.500 0.500 Ac
0.000 0.000 0.778 Lu
0.000 0.000 0.222 Lu
0.500 0.500 0.000 Tm


10.
AcTmLu2 PBE optimized geometry; ΔE to the lowest computed polymorph = 50 kJ/mol of formula units; formation enthalpy at 0 K = 20.8 kJ per mole of atoms
1.0
3.519 0.000 0.000
1.759 3.047 0.000
1.759 1.016 12.478
Ac Lu Tm
1 2 1
Direct
0.000 0.000 0.000 Ac
0.093 0.093 0.720 Lu
0.907 0.907 0.280 Lu
0.500 0.500 0.500 Tm


11.
AcTmLu2 PBE optimized geometry; ΔE to the lowest computed polymorph = 12 kJ/mol of formula units; formation enthalpy at 0 K = 11.2 kJ per mole of atoms
1.0
-4.163 3.610 1.575
-4.878 0.232 -2.999
-4.854 -2.037 2.263
Ac Lu Tm
1 2 1
Direct
0.000 0.000 0.000 Ac
0.250 0.250 0.250 Lu
0.750 0.750 0.750 Lu
0.500 0.500 0.500 Tm


12.
AcYTmLu PBE optimized geometry; formation enthalpy at 0 K = 10.5 kJ per mole of atoms
1.0
5.781 0.000 0.000
2.890 5.006 0.000
2.890 1.669 4.720
Y Ac Lu Tm
1 1 1 1
Direct
0.750 0.750 0.750 Y
0.250 0.250 0.250 Ac
0.500 0.500 0.500 Lu
0.000 0.000 0.000 Tm


13.
AcY2Lu PBE optimized geometry; ΔE to the lowest computed polymorph = 0 kJ/mol of formula units; formation enthalpy at 0 K = 6.2 kJ per mole of atoms
1.0
3.681 0.000 0.000
1.841 3.188 0.000
1.841 1.063 11.725
Y Ac Lu
2 1 1
Direct
0.746 0.746 0.762 Y
0.254 0.254 0.238 Y
0.500 0.500 0.500 Ac
0.000 0.000 0.000 Lu


14.
AcY2Lu PBE optimized geometry; ΔE to the lowest computed polymorph = 1 kJ/mol of formula units; formation enthalpy at 0 K = 6.5 kJ per mole of atoms
1.0
5.236 0.000 0.000
0.000 5.127 0.000
0.000 0.000 5.127
Y Ac Lu
2 1 1
Direct
0.000 0.000 0.500 Y
0.000 0.500 0.000 Y
0.500 0.000 0.000 Ac
0.500 0.500 0.500 Lu


15.
AcY2Lu PBE optimized geometry; ΔE to the lowest computed polymorph = 11 kJ/mol of formula units; formation enthalpy at 0 K = 8.9 kJ per mole of atoms
1.0
4.072 0.000 0.000
0.000 4.072 0.000
0.000 0.000 8.477
Y Ac Lu
2 1 1
Direct
0.000 0.000 0.782 Y
0.000 0.000 0.218 Y
0.500 0.500 0.500 Ac
0.500 0.500 0.000 Lu


16.
Ac4YLu PBE optimized geometry; formation enthalpy at 0 K = 38.2 kJ per mole of atoms
1.0
7.122 0.000 0.000
3.561 6.168 0.000
3.561 2.056 5.815
Y Ac Lu
1 4 1
Direct
0.250 0.250 0.250 Y
0.625 0.625 0.124 Ac
0.625 0.124 0.625 Ac
0.625 0.625 0.625 Ac
0.124 0.625 0.625 Ac
0.000 0.000 0.000 Lu


17.
AcYLu2 PBE optimized geometry; ΔE to the lowest computed polymorph = 4 kJ/mol of formula units; formation enthalpy at 0 K = 8.6 kJ per mole of atoms
1.0
-1.790 -0.940 -3.592
-0.714 -3.826 1.358
-7.079 2.355 2.912
Y Ac Lu
1 1 2
Direct
0.500 0.500 0.000 Y
0.500 0.500 0.500 Ac
0.000 0.000 0.773 Lu
0.000 0.000 0.227 Lu


18.
AcYLu4 PBE optimized geometry; formation enthalpy at 0 K = 25.2 kJ per mole of atoms
1.0
-0.258 0.071 6.611
-2.443 -5.206 3.271
4.037 -3.893 3.510
Y Ac Lu
1 1 4
Direct
0.000 0.000 0.000 Y
0.250 0.250 0.250 Ac
0.626 0.626 0.121 Lu
0.626 0.121 0.626 Lu
0.626 0.626 0.626 Lu
0.121 0.626 0.626 Lu


19.
AcYLu2 PBE optimized geometry; ΔE to the lowest computed polymorph = 0 kJ/mol of formula units; formation enthalpy at 0 K = 7.6 kJ per mole of atoms
1.0
-3.240 1.200 3.621
-2.834 -4.195 -1.145
2.761 -2.791 3.395
Y Ac Lu
1 1 2
Direct
0.500 0.000 0.000 Y
0.500 0.500 0.500 Ac
0.000 0.000 0.500 Lu
0.000 0.500 0.000 Lu


20.
AcYLu2 PBE optimized geometry; ΔE to the lowest computed polymorph = 9 kJ/mol of formula units; formation enthalpy at 0 K = 9.9 kJ per mole of atoms
1.0
5.766 0.000 0.000
2.883 4.994 0.000
2.883 1.665 4.708
Y Ac Lu
1 1 2
Direct
0.500 0.500 0.500 Y
0.000 0.000 0.000 Ac
0.250 0.250 0.250 Lu
0.750 0.750 0.750 Lu


21.
AcLuZn4 PBE optimized geometry; formation enthalpy at 0 K = -23.5 kJ per mole of atoms
1.0
-0.700 4.052 -3.835
-2.811 -1.079 -4.748
-5.090 2.241 -0.824
Ac Lu Zn
1 1 4
Direct
0.250 0.250 0.250 Ac
0.000 0.000 0.000 Lu
0.627 0.627 0.120 Zn
0.627 0.120 0.627 Zn
0.627 0.627 0.627 Zn
0.120 0.627 0.627 Zn


22.
AcLuZr PBE optimized geometry; ΔE to the lowest computed polymorph = 0 kJ/mol of formula units; formation enthalpy at 0 K = 17.7 kJ per mole of atoms
1.0
-1.777 -1.452 -2.637
-0.350 -2.942 1.856
-5.532 4.861 3.370
Ac Lu Zr
1 1 1
Direct
0.008 0.008 0.015 Ac
0.315 0.315 0.631 Lu
0.677 0.677 0.354 Zr


23.
AcLu2Zr PBE optimized geometry; ΔE to the lowest computed polymorph = 1 kJ/mol of formula units; formation enthalpy at 0 K = 15.6 kJ per mole of atoms
1.0
3.993 0.000 0.000
0.000 3.993 0.000
0.000 0.000 7.848
Ac Lu Zr
1 2 1
Direct
0.500 0.500 0.500 Ac
0.000 0.000 0.794 Lu
0.000 0.000 0.206 Lu
0.500 0.500 0.000 Zr


24.
AcLuZr2 PBE optimized geometry; formation enthalpy at 0 K = 26.8 kJ per mole of atoms
1.0
-0.010 -3.461 0.167
2.542 -1.661 1.670
-4.954 -1.242 9.897
Ac Lu Zr
1 1 2
Direct
0.000 0.000 0.000 Ac
0.500 0.500 0.500 Lu
0.753 0.753 0.742 Zr
0.247 0.247 0.258 Zr


25.
AcLu2Zr PBE optimized geometry; ΔE to the lowest computed polymorph = 25 kJ/mol of formula units; formation enthalpy at 0 K = 21.5 kJ per mole of atoms
1.0
5.566 0.000 0.000
2.783 4.820 0.000
2.783 1.607 4.544
Ac Lu Zr
1 2 1
Direct
0.500 0.500 0.500 Ac
0.250 0.250 0.250 Lu
0.750 0.750 0.750 Lu
0.000 0.000 0.000 Zr


26.
AcLu2Zr PBE optimized geometry; ΔE to the lowest computed polymorph = 0 kJ/mol of formula units; formation enthalpy at 0 K = 15.4 kJ per mole of atoms
1.0
4.965 0.000 0.000
0.000 4.939 0.000
0.000 0.000 4.939
Ac Lu Zr
1 2 1
Direct
0.500 0.500 0.500 Ac
0.000 0.000 0.500 Lu
0.000 0.500 0.000 Lu
0.500 0.000 0.000 Zr


27.
AcLu2Zr PBE optimized geometry; ΔE to the lowest computed polymorph = 27 kJ/mol of formula units; formation enthalpy at 0 K = 22.0 kJ per mole of atoms
1.0
-1.651 -3.036 -0.207
-0.586 -1.851 2.867
-11.336 4.030 2.375
Ac Lu Zr
1 2 1
Direct
0.000 0.000 0.000 Ac
0.096 0.096 0.711 Lu
0.904 0.904 0.289 Lu
0.500 0.500 0.500 Zr


28.
AcLuZr PBE optimized geometry; ΔE to the lowest computed polymorph = 10 kJ/mol of formula units; formation enthalpy at 0 K = 21.1 kJ per mole of atoms
1.0
-3.023 1.670 0.888
2.117 -1.328 2.544
4.161 7.338 0.368
Ac Lu Zr
1 1 1
Direct
0.000 0.000 0.014 Ac
0.333 0.667 0.643 Lu
0.667 0.333 0.343 Zr


29.
Ac3Mg11 PBE optimized geometry; formation enthalpy at 0 K = -5.3 kJ per mole of atoms
1.0
-4.105 -3.226 0.353
1.538 -6.891 -6.291
3.290 -8.016 3.788
Ac Mg
3 11
Direct
0.000 0.000 0.000 Ac
0.289 0.711 0.711 Ac
0.711 0.289 0.289 Ac
0.658 0.697 0.987 Mg
0.862 0.426 0.849 Mg
0.658 0.987 0.697 Mg
0.500 0.331 0.669 Mg
0.138 0.151 0.574 Mg
0.000 0.500 0.500 Mg
0.862 0.849 0.426 Mg
0.500 0.669 0.331 Mg
0.342 0.013 0.303 Mg
0.138 0.574 0.151 Mg
0.342 0.303 0.013 Mg


30.
AcMg3 PBE optimized geometry; formation enthalpy at 0 K = -4.0 kJ per mole of atoms
1.0
-5.091 0.638 -1.327
-1.427 -6.701 2.253
-1.932 -1.180 6.847
Ac Mg
2 6
Direct
0.750 0.667 0.667 Ac
0.250 0.333 0.333 Ac
0.250 0.847 0.305 Mg
0.250 0.848 0.848 Mg
0.250 0.305 0.847 Mg
0.750 0.153 0.695 Mg
0.750 0.152 0.152 Mg
0.750 0.695 0.153 Mg


no.,final energy (eV per atom)
1,-3.94
2,-3.82
3,-3.84
4,-3.85
5,-3.76
6,-4.29
7,-3.31
8,-4.32
9,-4.31
10,-4.19
11,-4.29
12,-4.78
13,-5.33
14,-5.32
15,-5.30
16,-4.17
17,-4.81
18,-4.51
19,-4.83
20,-4.80
21,-2.53
22,-5.54
23,-5.26
24,-6.15
25,-5.20
26,-5.27
27,-5.20
28,-5.51
29,-2.19
30,-2.26